Record 1
Entry from Alexandria via LeMat-Bulk: AcAu3 at its PBEsol-relaxed geometry (SCAN).

calculated formation energy	-0.857	eV per atom
calculated volume	185.4	Å³ per cell
SG	P6_3/mmc (194)
D(E_F)	3.06	states/eV/cell

Cell: 4.6540 6.7817 6.7817 Å, 120.00 90.00 90.00°
Positions (direct):
Ac (0.7500, 0.3333, 0.6667)
Ac (0.2500, 0.6667, 0.3333)
Au (0.2500, 0.7101, 0.8551)
Au (0.2500, 0.1449, 0.2899)
Au (0.2500, 0.1449, 0.8551)
Au (0.7500, 0.2899, 0.1449)
Au (0.7500, 0.8551, 0.7101)
Au (0.7500, 0.8551, 0.1449)

=====

Record 2
Entry from Alexandria via LeMat-Bulk: CaZnPt2 at its PBEsol-relaxed geometry (SCAN).

calculated formation energy	-0.603	eV per atom
calculated volume	66.3	Å³ per cell
SG	I-4m2 (119)
D(E_F)	0.93	states/eV/cell

Cell: 3.9211 3.9211 5.1243 Å, 112.49 112.49 90.00°
Positions (direct):
Zn (0.5000, 0.5000, 0.0000)
Ca (0.2500, 0.7500, 0.5000)
Pt (0.0000, 0.0000, 0.0000)
Pt (0.7500, 0.2500, 0.5000)

=====

Record 3
Entry from Alexandria via LeMat-Bulk: SrTcRu2 at its PBEsol-relaxed geometry (SCAN).

calculated formation energy	0.502	eV per atom
calculated volume	68.8	Å³ per cell
SG	P4/mmm (123)
D(E_F)	5.72	states/eV/cell
ΔE to the lowest computed polymorph	0	meV/atom

Cell: 2.9491 2.9505 7.9018 Å, 90.00 90.00 90.00°
Positions (direct):
Ru (0.0000, 0.0000, 0.6958)
Ru (0.0000, 0.0000, 0.3042)
Sr (0.5000, 0.5000, 0.0000)
Tc (0.5000, 0.5000, 0.5000)

=====

Record 4
Entry from Alexandria via LeMat-Bulk: ZnIn3Au12 at its PBEsol-relaxed geometry (SCAN).

calculated formation energy	-0.141	eV per atom
calculated volume	278.5	Å³ per cell
SG	Pmm2 (25)
D(E_F)	4.42	states/eV/cell

Cell: 4.7172 5.1679 11.4241 Å, 90.00 90.00 90.00°
Positions (direct):
Zn (0.5000, 0.6684, 0.0000)
In (0.5000, 0.6601, 0.5000)
In (0.0000, 0.3351, 0.2482)
In (0.0000, 0.3351, 0.7518)
Au (0.0000, 0.3554, 0.0000)
Au (0.0000, 0.3342, 0.5000)
Au (0.5000, 0.6616, 0.2415)
Au (0.5000, 0.6616, 0.7585)
Au (0.5000, 0.1630, 0.8784)
Au (0.5000, 0.1588, 0.3724)
Au (0.5000, 0.1630, 0.1216)
Au (0.5000, 0.1588, 0.6276)
Au (0.0000, 0.8392, 0.8793)
Au (0.0000, 0.8333, 0.3739)
Au (0.0000, 0.8392, 0.1207)
Au (0.0000, 0.8333, 0.6261)